# 1
The following is a PBE calculation of an optimized crystal structure of PuNpCo2, from the Alexandria database.

extended XYZ file:
```
4
Lattice="-0.967 -2.280 3.420 3.005 -0.991 2.796 -0.243 2.921 4.484" Properties=species:S:1:pos:R:3 pbc="T T T"
Pu 0.898 -0.175 5.350
Co 0.553 -0.540 2.403
Co 1.243 0.190 8.298
Np 0.000 0.000 0.000
```

Total magnetization in Bohr magnetons per cell: 7.47
Volume in Å³ per cell: 74
Energy in eV/atom: -10.250
Density of states at the Fermi level in states/eV per cell: 13.32
Formation energy from the elements in kJ/mol of atoms: 12
Offset from the most stable computed form in meV per atom: 0.0

---

# 2
The following is a PBE calculation of an optimized crystal structure of BaNb2Pt, from the Alexandria database.

extended XYZ file:
```
4
Lattice="0.000 3.419 3.419 3.419 0.000 3.419 3.419 3.419 0.000" Properties=species:S:1:pos:R:3 pbc="T T T"
Pt 3.419 3.419 3.419
Ba 0.000 0.000 0.000
Nb 5.129 5.129 5.129
Nb 1.710 1.710 1.710
```

Total magnetization in Bohr magnetons per cell: 0.00
Volume in Å³ per cell: 80
Energy in eV/atom: -6.448
Density of states at the Fermi level in states/eV per cell: 3.05
Formation energy from the elements in kJ/mol of atoms: 56
Offset from the most stable computed form in meV per atom: 0.0

---

# 3
The following is a PBE calculation of an optimized crystal structure of Ta3SbH, from the Alexandria database.

extended XYZ file:
```
5
Lattice="4.245 0.000 0.000 0.000 4.245 0.000 0.000 0.000 4.245" Properties=species:S:1:pos:R:3 pbc="T T T"
H 0.000 0.000 0.000
Ta 2.123 0.000 0.000
Ta 0.000 0.000 2.123
Ta 0.000 2.123 0.000
Sb 2.123 2.123 2.123
```

Total magnetization in Bohr magnetons per cell: 0.00
Volume in Å³ per cell: 77
Energy in eV/atom: -8.564
Density of states at the Fermi level in states/eV per cell: 3.25
Offset from the most stable computed form in meV per atom: 0.0